Record 1
! GGA-PBE Pr3Y6Ho2Er, optimized geometry; values from VASP
&SYSTEM
  ibrav = 0, nat = 12, ntyp = 4
/
ATOMIC_SPECIES
Pr 140.91 Pr.upf
Y 88.91 Y.upf
Ho 164.93 Ho.upf
Er 167.26 Er.upf
ATOMIC_POSITIONS angstrom
Pr 0.0000 0.0000 0.0000
Pr 3.1177 1.8001 0.0000
Pr 3.1177 -1.8001 0.0000
Y 1.0420 1.7985 2.9794
Y 0.0047 0.0000 8.7147
Y 1.0420 -1.7985 2.9794
Y 3.1217 1.7985 8.7126
Y 4.1590 0.0000 2.9773
Y 3.1217 -1.7985 8.7126
Ho 2.0818 3.5990 5.8460
Ho 2.0818 -3.5990 5.8460
Er 2.0818 0.0000 5.8460
CELL_PARAMETERS angstrom
3.1177 -5.3969 0.0000
3.1177 5.3969 0.0000
-2.0718 0.0000 11.6919
! - Space-group type: C2/m, No. 12
! - ΔH_f (0 K): 0.021 eV/atom
! - Total magnetic moment: 0.00 Bohr magnetons per cell
! - Electronic total energy: -5.55 eV/atom

***

Record 2
! GGA-PBE Pr2YHo6Er, optimized geometry; values from VASP
&SYSTEM
  ibrav = 0, nat = 20, ntyp = 4
/
ATOMIC_SPECIES
Pr 140.91 Pr.upf
Y 88.91 Y.upf
Ho 164.93 Ho.upf
Er 167.26 Er.upf
ATOMIC_POSITIONS angstrom
Pr 2.1570 0.8008 0.4071
Pr 1.4053 -0.8008 5.1922
Pr 6.0938 0.8008 4.3779
Pr 5.3421 -0.8008 9.1629
Y 4.1254 7.2748 2.3925
Y 3.3737 -7.2748 7.1776
Ho 2.4084 4.1749 1.8022
Ho 3.0795 4.6518 5.3340
Ho 3.6679 4.6518 9.0211
Ho 2.9992 1.5879 3.6495
Ho 5.8424 4.1749 2.9829
Ho 5.2516 1.5879 1.1355
Ho 2.2475 -1.5879 8.4346
Ho 1.6567 -4.1749 6.5872
Ho 4.4999 -1.5879 5.9206
Ho 3.8312 -4.6518 0.5490
Ho 4.4196 -4.6518 4.2360
Ho 5.0907 -4.1749 7.7679
Er 3.3737 1.4053 7.1776
Er 4.1254 -1.4053 2.3925
CELL_PARAMETERS angstrom
4.5013 -7.5386 0.0000
4.5013 7.5386 0.0000
-1.5034 0.0000 9.5701
! - Space-group type: C2/c, No. 15
! - ΔH_f (0 K): 0.115 eV/atom
! - Total magnetic moment: 0.00 Bohr magnetons per cell
! - Electronic total energy: -4.69 eV/atom

***

Record 3
! GGA-PBE PrY5Ho2Er, optimized geometry; values from VASP
&SYSTEM
  ibrav = 0, nat = 18, ntyp = 4
/
ATOMIC_SPECIES
Pr 140.91 Pr.upf
Y 88.91 Y.upf
Ho 164.93 Ho.upf
Er 167.26 Er.upf
ATOMIC_POSITIONS angstrom
Pr 2.8158 6.0969 5.2713
Pr 2.8158 -6.0969 0.0000
Y 2.8158 9.7490 5.3685
Y 2.8158 4.4610 8.4217
Y 2.8158 3.9996 2.0110
Y 2.8158 2.2095 5.3836
Y 2.8158 0.4302 2.3564
Y 2.8158 -0.4302 7.6277
Y 2.8158 -2.2095 0.1123
Y 2.8158 -3.9996 7.2822
Y 2.8158 -4.4610 3.1504
Y 2.8158 -9.7490 0.0972
Ho 2.8158 7.8567 2.3401
Ho 2.8158 7.8092 8.4861
Ho 2.8158 -7.8092 3.2148
Ho 2.8158 -7.8567 7.6114
Er 2.8158 1.7550 9.8825
Er 2.8158 -1.7550 4.6112
CELL_PARAMETERS angstrom
2.8158 -10.0743 0.0000
2.8158 10.0743 0.0000
0.0000 0.0000 10.5426
! - Space-group type: Cmc2_1, No. 36
! - ΔH_f (0 K): 0.155 eV/atom
! - Total magnetic moment: 0.00 Bohr magnetons per cell
! - Electronic total energy: -5.49 eV/atom

***

Record 4
! GGA-PBE Pr5YHoEr2, optimized geometry; values from VASP
&SYSTEM
  ibrav = 0, nat = 18, ntyp = 4
/
ATOMIC_SPECIES
Pr 140.91 Pr.upf
Y 88.91 Y.upf
Ho 164.93 Ho.upf
Er 167.26 Er.upf
ATOMIC_POSITIONS angstrom
Pr 2.8243 10.0742 5.3576
Pr 2.8243 7.9109 8.2895
Pr 2.8243 6.1227 4.9573
Pr 2.8243 5.7610 0.7360
Pr 2.8243 0.2818 8.2302
Pr 2.8243 -0.2818 2.8726
Pr 2.8243 -5.7610 6.0936
Pr 2.8243 -6.1227 10.3149
Pr 2.8243 -7.9109 2.9319
Pr 2.8243 -10.0742 0.0000
Y 2.8243 8.3923 2.3806
Y 2.8243 -8.3923 7.7382
Ho 2.8243 4.1332 8.2041
Ho 2.8243 -4.1332 2.8465
Er 2.8243 2.3568 0.5888
Er 2.8243 2.3603 5.3029
Er 2.8243 -2.3568 5.9464
Er 2.8243 -2.3603 10.6606
CELL_PARAMETERS angstrom
2.8243 -10.3598 0.0000
2.8243 10.3598 0.0000
0.0000 0.0000 10.7153
! - Space-group type: Cmc2_1, No. 36
! - ΔH_f (0 K): 0.146 eV/atom
! - Total magnetic moment: 0.00 Bohr magnetons per cell
! - Electronic total energy: -4.75 eV/atom

***

Record 5
! GGA-PBE Pr6YHoEr2, optimized geometry; values from VASP
&SYSTEM
  ibrav = 0, nat = 20, ntyp = 4
/
ATOMIC_SPECIES
Pr 140.91 Pr.upf
Y 88.91 Y.upf
Ho 164.93 Ho.upf
Er 167.26 Er.upf
ATOMIC_POSITIONS angstrom
Pr 2.4147 4.2883 1.8188
Pr 3.3811 4.9920 5.3211
Pr 4.0017 4.9920 9.1124
Pr 3.2358 1.6623 3.6760
Pr 6.2442 4.2883 2.9923
Pr 5.4230 1.6623 1.1351
Pr 2.5978 -1.6623 8.4872
Pr 1.7767 -4.2883 6.6300
Pr 4.7850 -1.6623 5.9463
Pr 4.0191 -4.9920 0.5099
Pr 4.6397 -4.9920 4.3012
Pr 5.6062 -4.2883 7.8034
Y 4.3294 7.3029 2.4056
Y 3.6914 -7.3029 7.2167
Ho 3.6914 1.3601 7.2167
Ho 4.3294 -1.3601 2.4056
Er 2.2561 0.7590 0.4444
Er 1.6181 -0.7590 5.2555
Er 6.4027 0.7590 4.3668
Er 5.7647 -0.7590 9.1779
CELL_PARAMETERS angstrom
4.6484 -7.7223 0.0000
4.6484 7.7223 0.0000
-1.2760 0.0000 9.6223
! - Space-group type: C2/c, No. 15
! - ΔH_f (0 K): 0.114 eV/atom
! - Total magnetic moment: 0.00 Bohr magnetons per cell
! - Electronic total energy: -4.77 eV/atom

***

Record 6
! GGA-PBE Pr2Y6HoEr, optimized geometry; values from VASP
&SYSTEM
  ibrav = 0, nat = 20, ntyp = 4
/
ATOMIC_SPECIES
Pr 140.91 Pr.upf
Y 88.91 Y.upf
Ho 164.93 Ho.upf
Er 167.26 Er.upf
ATOMIC_POSITIONS angstrom
Pr 2.1358 0.7549 0.4284
Pr 1.2885 -0.7549 5.2605
Pr 6.1026 0.7549 4.4038
Pr 5.2553 -0.7549 9.2359
Y 2.3913 4.1982 1.8105
Y 3.0027 4.6793 5.3843
Y 3.5410 4.6793 9.1122
Y 2.9745 1.5681 3.6952
Y 5.8471 4.1982 3.0217
Y 5.2639 1.5681 1.1369
Y 2.1272 -1.5681 8.5274
Y 1.5440 -4.1982 6.6426
Y 4.4166 -1.5681 5.9691
Y 3.8500 -4.6793 0.5521
Y 4.3883 -4.6793 4.2801
Y 4.9998 -4.1982 7.8539
Ho 4.1192 7.2674 2.4161
Ho 3.2719 -7.2674 7.2482
Er 3.2719 1.4181 7.2482
Er 4.1192 -1.4181 2.4161
CELL_PARAMETERS angstrom
4.5428 -7.5293 0.0000
4.5428 7.5293 0.0000
-1.6946 0.0000 9.6643
! - Space-group type: C2/c, No. 15
! - ΔH_f (0 K): 0.112 eV/atom
! - Total magnetic moment: 0.00 Bohr magnetons per cell
! - Electronic total energy: -5.64 eV/atom

***

> The highest electronic total energy belongs to which entry?

Pr2YHo6Er

***

> Look up the ΔH_f (0 K) of the third one.

0.155 eV/atom